Here is B2PRhI after structural relaxation from Alexandria. Energies are from PBE.

Unit cell a=4.277 b=4.277 c=5.086 alpha=90.00 beta=90.00 gamma=90.00
Space group P4/mmm (No. 123)
Inequivalent atoms, fractional coordinates:
B: 0.000 0.500 0.000 x2
P: 0.000 0.000 0.500 x1
Rh: 0.500 0.500 0.500 x1
I: 0.000 0.000 0.000 x1

Output
**Total magnetization**: 0.0 Bohr magnetons per cell
**Energy relative to the elements, uncorrected**: 2.466 eV per atom

***

Here is BP2SI after structural relaxation from Alexandria. Energies are from PBE.

Unit cell a=4.430 b=4.430 c=4.159 alpha=90.00 beta=90.00 gamma=90.00
Space group P4/mmm (No. 123)
Inequivalent atoms, fractional coordinates:
B: 0.000 0.000 0.000 x1
P: 0.000 0.500 0.000 x2
S: 0.000 0.000 0.500 x1
I: 0.500 0.500 0.500 x1

Output
**Total magnetization**: 0.0 Bohr magnetons per cell
**Energy relative to the elements, uncorrected**: 0.968 eV per atom
**Distance to the lowest polymorph of the same formula**: 0 meV/atom

***

Here is BP2SI after structural relaxation from Alexandria. Energies are from PBE.

Unit cell a=5.225 b=5.225 c=5.098 alpha=90.00 beta=90.00 gamma=90.00
Space group P4/mmm (No. 123)
Inequivalent atoms, fractional coordinates:
B: 0.000 0.000 0.000 x1
P: 0.000 0.500 0.500 x2
S: 0.500 0.500 0.000 x1
I: 0.500 0.500 0.500 x1

Output
**Total magnetization**: 1.5 Bohr magnetons per cell
**Energy relative to the elements, uncorrected**: 2.259 eV per atom
**Distance to the lowest polymorph of the same formula**: 1292 meV/atom

***

Here is BP4S3I3 after structural relaxation from Alexandria. Energies are from PBE.

Unit cell a=13.808 b=12.493 c=9.044 alpha=90.00 beta=90.00 gamma=90.00
Space group Pnma (No. 62)
Inequivalent atoms, fractional coordinates:
B: 0.146 0.250 0.035 x4
P: 0.021 0.159 0.525 x8
P: 0.114 0.250 0.822 x4
P: 0.160 0.250 0.477 x4
S: 0.032 0.118 0.752 x8
S: 0.234 0.250 0.681 x4
I: 0.001 0.250 0.153 x4
I: 0.229 0.100 0.076 x8

Output
**Total magnetization**: 0.0 Bohr magnetons per cell
**Energy relative to the elements, uncorrected**: -0.134 eV per atom

***

Here is BSbPI2 after structural relaxation from Alexandria. Energies are from PBE.

Unit cell a=4.845 b=4.845 c=5.179 alpha=90.00 beta=90.00 gamma=90.00
Space group P4/mmm (No. 123)
Inequivalent atoms, fractional coordinates:
B: 0.000 0.000 0.000 x1
Sb: 0.000 0.000 0.500 x1
P: 0.500 0.500 0.500 x1
I: 0.000 0.500 0.000 x2

Output
**Total magnetization**: 0.0 Bohr magnetons per cell
**Energy relative to the elements, uncorrected**: 1.144 eV per atom
**Distance to the lowest polymorph of the same formula**: 0 meV/atom

***

Here is BSb2PI after structural relaxation from Alexandria. Energies are from PBE.

Unit cell a=4.952 b=4.952 c=4.681 alpha=90.00 beta=90.00 gamma=90.00
Space group P4/mmm (No. 123)
Inequivalent atoms, fractional coordinates:
B: 0.000 0.000 0.000 x1
Sb: 0.000 0.500 0.000 x2
P: 0.500 0.500 0.500 x1
I: 0.000 0.000 0.500 x1

Output
**Total magnetization**: 0.0 Bohr magnetons per cell
**Energy relative to the elements, uncorrected**: 1.048 eV per atom
**Distance to the lowest polymorph of the same formula**: 0 meV/atom

***

Here is TcBPI2 after structural relaxation from Alexandria. Energies are from PBE.

Unit cell a=4.958 b=4.958 c=4.176 alpha=90.00 beta=90.00 gamma=90.00
Space group P4/mmm (No. 123)
Inequivalent atoms, fractional coordinates:
Tc: 0.000 0.000 0.000 x1
B: 0.000 0.000 0.500 x1
P: 0.500 0.500 0.000 x1
I: 0.000 0.500 0.500 x2

Output
**Total magnetization**: 0.0 Bohr magnetons per cell
**Energy relative to the elements, uncorrected**: 1.478 eV per atom

***

Here is TcBP2I after structural relaxation from Alexandria. Energies are from PBE.

Unit cell a=4.186 b=4.186 c=4.542 alpha=90.00 beta=90.00 gamma=90.00
Space group P4/mmm (No. 123)
Inequivalent atoms, fractional coordinates:
Tc: 0.000 0.000 0.000 x1
B: 0.000 0.000 0.500 x1
P: 0.000 0.500 0.500 x2
I: 0.500 0.500 0.000 x1

Output
**Total magnetization**: 0.0 Bohr magnetons per cell
**Energy relative to the elements, uncorrected**: 1.105 eV per atom